Record 1
CaSb2Os: relaxed, GGA-PBE.

CIF file:
```
data_CaSb2Os
_chemical_formula_sum 'Ca1 Sb2 Os1'
_cell_length_a 3.448
_cell_length_b 4.428
_cell_length_c 6.078
_cell_angle_alpha 90.00
_cell_angle_beta 95.66
_cell_angle_gamma 90.00
_space_group_name_H-M_alt 'P 1 2/m 1'
_space_group_IT_number 10
_space_group_name_Hall '-P 2y'
loop_
_atom_site_label
_atom_site_type_symbol
_atom_site_fract_x
_atom_site_fract_y
_atom_site_fract_z
Ca1 Ca 0.000 0.000 0.000
Sb1 Sb 0.399 0.500 0.735
Os1 Os 0.500 0.000 0.500
```

Calculated values
* formation energy without anion corrections: 0.02 eV/atom
* calculated total energy: -5.347 eV/atom

Record 2
CaSbOs: relaxed, GGA-PBE.

CIF file:
```
data_CaSbOs
_chemical_formula_sum 'Ca1 Sb1 Os1'
_cell_length_a 4.5879
_cell_length_b 4.5879
_cell_length_c 3.6422
_cell_angle_alpha 90.00
_cell_angle_beta 90.00
_cell_angle_gamma 120.00
_space_group_name_H-M_alt 'P -6 m 2'
_space_group_IT_number 187
_space_group_name_Hall 'P -6 2'
loop_
_atom_site_label
_atom_site_type_symbol
_atom_site_fract_x
_atom_site_fract_y
_atom_site_fract_z
Ca1 Ca 0.0000 0.0000 0.0000
Sb1 Sb 0.3333 0.6667 0.5000
Os1 Os 0.6667 0.3333 0.5000
```

Calculated values
* formation energy without anion corrections: 0.00 eV/atom
* calculated total energy: -5.786 eV/atom

Record 3
Ca2Sb2Os: relaxed, GGA-PBE.

CIF file:
```
data_Ca2Sb2Os
_chemical_formula_sum 'Ca4 Sb4 Os2'
_cell_length_a 4.062
_cell_length_b 4.062
_cell_length_c 17.347
_cell_angle_alpha 90.00
_cell_angle_beta 90.00
_cell_angle_gamma 90.00
_space_group_name_H-M_alt 'I 4/m m m'
_space_group_IT_number 139
_space_group_name_Hall '-I 4 2'
loop_
_atom_site_label
_atom_site_type_symbol
_atom_site_fract_x
_atom_site_fract_y
_atom_site_fract_z
Ca1 Ca 0.000 0.000 0.092
Sb1 Sb 0.000 0.500 0.250
Os1 Os 0.000 0.000 0.500
```

Calculated values
* formation energy without anion corrections: 0.44 eV/atom
* calculated total energy: -4.252 eV/atom

Record 4
CaSb2Os: relaxed, GGA-PBE.

CIF file:
```
data_CaSb2Os
_chemical_formula_sum 'Ca2 Sb4 Os2'
_cell_length_a 3.299
_cell_length_b 5.236
_cell_length_c 11.936
_cell_angle_alpha 90.00
_cell_angle_beta 90.00
_cell_angle_gamma 90.00
_space_group_name_H-M_alt 'I m m m'
_space_group_IT_number 71
_space_group_name_Hall '-I 2 2'
loop_
_atom_site_label
_atom_site_type_symbol
_atom_site_fract_x
_atom_site_fract_y
_atom_site_fract_z
Ca1 Ca 0.000 0.000 0.000
Sb1 Sb 0.000 0.500 0.177
Os1 Os 0.000 0.000 0.500
```

Calculated values
* formation energy without anion corrections: -0.03 eV/atom
* calculated total energy: -5.395 eV/atom

Record 5
CaSb2Os: relaxed, GGA-PBE.

CIF file:
```
data_CaSb2Os
_chemical_formula_sum 'Ca1 Sb2 Os1'
_cell_length_a 3.354
_cell_length_b 5.135
_cell_length_c 5.375
_cell_angle_alpha 90.00
_cell_angle_beta 90.00
_cell_angle_gamma 90.00
_space_group_name_H-M_alt 'P m m 2'
_space_group_IT_number 25
_space_group_name_Hall 'P 2 -2'
loop_
_atom_site_label
_atom_site_type_symbol
_atom_site_fract_x
_atom_site_fract_y
_atom_site_fract_z
Ca1 Ca 0.000 0.000 0.000
Sb1 Sb 0.500 0.000 0.527
Sb2 Sb 0.500 0.500 0.209
Os1 Os 0.500 0.500 0.718
```

Calculated values
* formation energy without anion corrections: 0.14 eV/atom
* calculated total energy: -5.232 eV/atom

Record 6
CaSbOs: relaxed, GGA-PBE.

CIF file:
```
data_CaSbOs
_chemical_formula_sum 'Ca1 Sb1 Os1'
_cell_length_a 3.4250
_cell_length_b 3.4250
_cell_length_c 6.7974
_cell_angle_alpha 90.00
_cell_angle_beta 90.00
_cell_angle_gamma 120.00
_space_group_name_H-M_alt 'P 3 m 1'
_space_group_IT_number 156
_space_group_name_Hall 'P 3 -2"'
loop_
_atom_site_label
_atom_site_type_symbol
_atom_site_fract_x
_atom_site_fract_y
_atom_site_fract_z
Ca1 Ca 0.0000 0.0000 0.0000
Sb1 Sb 0.3333 0.6667 0.5968
Os1 Os 0.6667 0.3333 0.3368
```

Calculated values
* formation energy without anion corrections: 0.30 eV/atom
* calculated total energy: -5.484 eV/atom

Record 7
Ca2Sb2Os: relaxed, GGA-PBE.

CIF file:
```
data_Ca2Sb2Os
_chemical_formula_sum 'Ca4 Sb4 Os2'
_cell_length_a 7.039
_cell_length_b 7.039
_cell_length_c 4.934
_cell_angle_alpha 90.00
_cell_angle_beta 90.00
_cell_angle_gamma 90.00
_space_group_name_H-M_alt 'P 4/m b m'
_space_group_IT_number 127
_space_group_name_Hall '-P 4 2ab'
loop_
_atom_site_label
_atom_site_type_symbol
_atom_site_fract_x
_atom_site_fract_y
_atom_site_fract_z
Ca1 Ca 0.172 0.328 0.000
Sb1 Sb 0.147 0.647 0.500
Os1 Os 0.000 0.000 0.500
```

Calculated values
* formation energy without anion corrections: -0.36 eV/atom
* calculated total energy: -5.054 eV/atom

Record 8
CaSb2Os: relaxed, GGA-PBE.

CIF file:
```
data_CaSb2Os
_chemical_formula_sum 'Ca3 Sb6 Os3'
_cell_length_a 4.4735
_cell_length_b 4.4735
_cell_length_c 16.2203
_cell_angle_alpha 90.00
_cell_angle_beta 90.00
_cell_angle_gamma 120.00
_space_group_name_H-M_alt 'R -3 m'
_space_group_IT_number 166
_space_group_name_Hall '-R 3 2"'
loop_
_atom_site_label
_atom_site_type_symbol
_atom_site_fract_x
_atom_site_fract_y
_atom_site_fract_z
Ca1 Ca 0.0000 0.0000 0.0000
Sb1 Sb 0.0000 0.0000 0.2245
Os1 Os 0.0000 0.0000 0.5000
```

Calculated values
* formation energy without anion corrections: -0.18 eV/atom
* calculated total energy: -5.546 eV/atom

Record 9
CaSb2Os: relaxed, GGA-PBE.

CIF file:
```
data_CaSb2Os
_chemical_formula_sum 'Ca2 Sb4 Os2'
_cell_length_a 4.250
_cell_length_b 4.250
_cell_length_c 9.613
_cell_angle_alpha 90.00
_cell_angle_beta 90.00
_cell_angle_gamma 90.00
_space_group_name_H-M_alt 'I -4 m 2'
_space_group_IT_number 119
_space_group_name_Hall 'I -4 -2'
loop_
_atom_site_label
_atom_site_type_symbol
_atom_site_fract_x
_atom_site_fract_y
_atom_site_fract_z
Ca1 Ca 0.000 0.000 0.000
Sb1 Sb 0.000 0.000 0.500
Sb2 Sb 0.000 0.500 0.250
Os1 Os 0.000 0.500 0.750
```

Calculated values
* formation energy without anion corrections: 0.25 eV/atom
* calculated total energy: -5.121 eV/atom

Record 10
CaSbOs: relaxed, GGA-PBE.

CIF file:
```
data_CaSbOs
_chemical_formula_sum 'Ca4 Sb4 Os4'
_cell_length_a 6.549
_cell_length_b 6.549
_cell_length_c 6.549
_cell_angle_alpha 90.00
_cell_angle_beta 90.00
_cell_angle_gamma 90.00
_space_group_name_H-M_alt 'F -4 3 m'
_space_group_IT_number 216
_space_group_name_Hall 'F -4 2 3'
loop_
_atom_site_label
_atom_site_type_symbol
_atom_site_fract_x
_atom_site_fract_y
_atom_site_fract_z
Ca1 Ca 0.000 0.000 0.000
Sb1 Sb 0.000 0.000 0.500
Os1 Os 0.250 0.250 0.750
```

Calculated values
* formation energy without anion corrections: 0.14 eV/atom
* calculated total energy: -5.640 eV/atom

Record 11
CaSb2Os: relaxed, GGA-PBE.

CIF file:
```
data_CaSb2Os
_chemical_formula_sum 'Ca4 Sb8 Os4'
_cell_length_a 7.048
_cell_length_b 7.048
_cell_length_c 7.048
_cell_angle_alpha 90.00
_cell_angle_beta 90.00
_cell_angle_gamma 90.00
_space_group_name_H-M_alt 'F -4 3 m'
_space_group_IT_number 216
_space_group_name_Hall 'F -4 2 3'
loop_
_atom_site_label
_atom_site_type_symbol
_atom_site_fract_x
_atom_site_fract_y
_atom_site_fract_z
Ca1 Ca 0.000 0.000 0.000
Sb1 Sb 0.000 0.000 0.500
Sb2 Sb 0.250 0.250 0.750
Os1 Os 0.250 0.250 0.250
```

Calculated values
* formation energy without anion corrections: 0.39 eV/atom
* calculated total energy: -4.981 eV/atom

Record 12
CaSbOs4: relaxed, GGA-PBE.

CIF file:
```
data_CaSbOs4
_chemical_formula_sum 'Ca4 Sb4 Os16'
_cell_length_a 7.539
_cell_length_b 7.539
_cell_length_c 7.539
_cell_angle_alpha 90.00
_cell_angle_beta 90.00
_cell_angle_gamma 90.00
_space_group_name_H-M_alt 'F -4 3 m'
_space_group_IT_number 216
_space_group_name_Hall 'F -4 2 3'
loop_
_atom_site_label
_atom_site_type_symbol
_atom_site_fract_x
_atom_site_fract_y
_atom_site_fract_z
Ca1 Ca 0.000 0.000 0.000
Sb1 Sb 0.250 0.250 0.250
Os1 Os 0.125 0.125 0.625
```

Calculated values
* formation energy without anion corrections: 0.47 eV/atom
* calculated total energy: -8.034 eV/atom

> Which of these has the lowest calculated total energy?

CaSbOs4